# 1
## Th2Cu3Ni12Ir (PBE-GGA)

Data for crystalline Th2Cu3Ni12Ir at its relaxed geometry.

Unit cell a=9.214 b=9.214 c=9.214 alpha=38.10 beta=38.10 gamma=38.10
Positions (direct):
Ni (0.882, 0.428, 0.882)
Ni (0.572, 0.118, 0.118)
Ni (0.802, 0.417, 0.417)
Ni (0.118, 0.572, 0.118)
Ni (0.583, 0.583, 0.198)
Ni (0.198, 0.583, 0.583)
Ni (0.417, 0.417, 0.802)
Ni (0.118, 0.118, 0.572)
Ni (0.428, 0.882, 0.882)
Ni (0.417, 0.802, 0.417)
Ni (0.583, 0.198, 0.583)
Ni (0.882, 0.882, 0.428)
Cu (0.000, 0.500, 0.000)
Cu (0.500, 0.000, 0.000)
Cu (0.000, 0.000, 0.500)
Th (0.360, 0.360, 0.360)
Th (0.640, 0.640, 0.640)
Ir (0.000, 0.000, 0.000)

Summary:
For the density, the calculation gives 9633 kg/m3. The formation energy is 0.1747 eV/atom.

=====

# 2
## CoSeCl2 (PBE-GGA)

Data for crystalline CoSeCl2 at its relaxed geometry.

Unit cell a=3.355 b=3.355 c=10.892 alpha=90.00 beta=90.00 gamma=125.53
Positions (direct):
Co (0.500, 0.500, 0.250)
Cl (0.000, 0.000, 0.108)
Cl (0.000, 0.000, 0.392)
Se (0.500, 0.500, 0.750)

Summary:
For the density, the calculation gives 3476 kg/m3. For the energy relative to the elements, uncorrected, the calculation gives 0.0683 eV/atom. Its excess energy over the best structure of this formula in the dataset is 1.26 eV/f.u.

=====

# 3
## Re2Mo (PBE-GGA)

Data for crystalline Re2Mo at its relaxed geometry.

Unit cell a=6.365 b=6.365 c=4.194 alpha=90.00 beta=90.00 gamma=120.00
Positions (direct):
Re (0.000, 0.581, 0.500)
Re (0.754, 0.754, 0.000)
Re (0.000, 0.246, 0.000)
Re (0.246, 0.000, 0.000)
Re (0.419, 0.419, 0.500)
Re (0.581, 0.000, 0.500)
Mo (0.667, 0.333, 0.000)
Mo (0.000, 0.000, 0.500)
Mo (0.333, 0.667, 0.000)

Summary:
For the density, the calculation gives 15855 kg/m3. The formation energy is 0.6348 eV/atom. Its excess energy over the best structure of this formula in the dataset is 1.56 eV/f.u.

=====

# 4
## La2SeBr (PBE-GGA)

Data for crystalline La2SeBr at its relaxed geometry.

Unit cell a=4.152 b=4.152 c=8.219 alpha=75.37 beta=75.37 gamma=60.00
Positions (direct):
Se (0.667, 0.667, 0.000)
La (0.075, 0.075, 0.776)
La (0.260, 0.260, 0.221)
Br (0.499, 0.499, 0.502)

Summary:
For the density, the calculation gives 6179 kg/m3. For the energy relative to the elements, uncorrected, the calculation gives -1.6025 eV/atom. Its excess energy over the best structure of this formula in the dataset is 0.16 eV/f.u.